No. 1
Below is a relaxed structure of CdSn5Ir3, with properties calculated at the PBE level.

Lattice parameters (Å, degrees): 7.4202 7.4202 9.8656 66.84 66.84 74.88
Fractional positions:
Sn (0.4146, 0.4146, 0.3629)
Cd (0.8914, 0.8914, 0.3156)
Sn (0.7110, 0.2890, 0.0000)
Sn (0.5854, 0.5854, 0.6371)
Cd (0.1086, 0.1086, 0.6844)
Ir (0.0000, 0.0000, 0.0000)
Ir (0.0000, 0.0000, 0.5000)
Sn (0.0550, 0.6325, 0.6688)
Sn (0.2890, 0.7110, 0.0000)
Sn (0.6325, 0.0550, 0.6688)
Sn (0.7655, 0.7655, 0.0305)
Ir (0.6717, 0.6717, 0.8362)
Sn (0.2345, 0.2345, 0.9695)
Ir (0.3552, 0.3552, 0.6609)
Ir (0.6448, 0.6448, 0.3391)
Ir (0.3283, 0.3283, 0.1638)
Sn (0.3675, 0.9450, 0.3312)
Sn (0.9450, 0.3675, 0.3312)

- Energy of formation: -1.06 eV per formula unit
- Theoretical density: 9.351 Mg/m³
- Total magnetization: 0.00 μB/atom
- Symmetry: C2/m (12)

=====

No. 2
Below is a relaxed structure of CdSnIr3, with properties calculated at the PBE level.

Lattice parameters (Å, degrees): 4.8675 4.8675 4.8675 90.00 90.00 90.00
Fractional positions:
Ir (0.5000, 0.0000, 0.0000)
Ir (0.0000, 0.0000, 0.5000)
Sn (0.0000, 0.0000, 0.0000)
Ir (0.0000, 0.5000, 0.0000)
Cd (0.5000, 0.5000, 0.5000)

- Energy of formation: 7.72 eV per formula unit
- Theoretical density: 11.631 Mg/m³
- Total magnetization: 0.00 μB/atom
- Symmetry: Pm-3m (221)
- Offset from the most stable computed form: 0 meV/atom

=====

No. 3
Below is a relaxed structure of Sr2CdSnIr, with properties calculated at the PBE level.

Lattice parameters (Å, degrees): 5.8732 5.8732 5.0688 90.00 90.00 90.00
Fractional positions:
Sr (0.5000, 0.0000, 0.0000)
Sn (0.0000, 0.0000, 0.5000)
Ir (0.0000, 0.0000, 0.0000)
Sr (0.0000, 0.5000, 0.0000)
Cd (0.5000, 0.5000, 0.5000)

- Energy of formation: -1.47 eV per formula unit
- Theoretical density: 5.685 Mg/m³
- Total magnetization: 0.00 μB/atom
- Symmetry: P4/mmm (123)

=====

No. 4
Below is a relaxed structure of SrCd2SnIr, with properties calculated at the PBE level.

Lattice parameters (Å, degrees): 5.2754 5.0794 5.2754 90.00 90.00 90.00
Fractional positions:
Cd (0.5000, 0.0000, 0.0000)
Ir (0.0000, 0.0000, 0.0000)
Sr (0.5000, 0.5000, 0.5000)
Sn (0.0000, 0.5000, 0.0000)
Cd (0.0000, 0.0000, 0.5000)

- Energy of formation: -0.94 eV per formula unit
- Theoretical density: 7.323 Mg/m³
- Total magnetization: 0.00 μB/atom
- Symmetry: P4/mmm (123)

=====

No. 5
Below is a relaxed structure of Sr2CdSn3Ir4, with properties calculated at the PBE level.

Lattice parameters (Å, degrees): 4.4835 4.4835 11.2500 90.00 90.00 90.00
Fractional positions:
Sr (0.5000, 0.0000, 0.2475)
Sn (0.0000, 0.0000, 0.5000)
Ir (0.5000, 0.5000, 0.0000)
Sn (0.5000, 0.0000, 0.8730)
Ir (0.0000, 0.5000, 0.3614)
Ir (0.0000, 0.0000, 0.0000)
Ir (0.5000, 0.0000, 0.6387)
Cd (0.5000, 0.5000, 0.5000)
Sn (0.0000, 0.5000, 0.1270)
Sr (0.0000, 0.5000, 0.7525)

- Energy of formation: -3.77 eV per formula unit
- Theoretical density: 10.373 Mg/m³
- Total magnetization: 0.00 μB/atom
- Symmetry: P-4m2 (115)

=====

No. 6
Below is a relaxed structure of SrCdIr, with properties calculated at the PBE level.

Lattice parameters (Å, degrees): 4.6509 4.6509 4.1353 90.00 90.00 120.00
Fractional positions:
Ir (0.6667, 0.3333, 0.1668)
Sr (0.3333, 0.6667, 0.6664)
Cd (0.0000, 0.0000, 0.1668)

- Energy of formation: -0.10 eV per formula unit
- Theoretical density: 8.408 Mg/m³
- Total magnetization: 0.00 μB/atom
- Symmetry: P-6m2 (187)

=====

No. 7
Below is a relaxed structure of SrCd2Ir, with properties calculated at the PBE level.

Lattice parameters (Å, degrees): 4.7425 4.7425 6.0444 66.79 66.79 60.02
Fractional positions:
Cd (0.2203, 0.2203, 0.3386)
Cd (0.9585, 0.9585, 0.1246)
Sr (0.7564, 0.7564, 0.7309)
Ir (0.5647, 0.5647, 0.3058)

- Energy of formation: -0.49 eV per formula unit
- Theoretical density: 7.991 Mg/m³
- Total magnetization: 0.00 μB/atom
- Symmetry: Cm (8)

=====

No. 8
Below is a relaxed structure of SrCd2Ir2, with properties calculated at the PBE level.

Lattice parameters (Å, degrees): 4.5179 4.5179 6.4596 69.53 69.53 90.00
Fractional positions:
Sr (0.0000, 0.0000, 0.0000)
Ir (0.3937, 0.3937, 0.2127)
Cd (0.2500, 0.7500, 0.5000)
Ir (0.6063, 0.6063, 0.7873)
Cd (0.7500, 0.2500, 0.5000)

- Energy of formation: -0.33 eV per formula unit
- Theoretical density: 10.098 Mg/m³
- Total magnetization: 0.00 μB/atom
- Symmetry: I4/mmm (139)
- Offset from the most stable computed form: 0 meV/atom

=====

No. 9
Below is a relaxed structure of SrCdIr2, with properties calculated at the PBE level.

Lattice parameters (Å, degrees): 4.6775 2.9465 6.0963 78.21 90.00 90.00
Fractional positions:
Cd (0.5000, 0.7500, 0.7500)
Ir (0.0000, 0.9379, 0.9394)
Sr (0.5000, 0.2500, 0.2500)
Ir (0.0000, 0.5621, 0.5606)

- Energy of formation: 1.07 eV per formula unit
- Theoretical density: 11.800 Mg/m³
- Total magnetization: 0.00 μB/atom
- Symmetry: P2/m (10)

=====

No. 10
Below is a relaxed structure of Sr2Cd2Ir, with properties calculated at the PBE level.

Lattice parameters (Å, degrees): 7.3952 7.3952 5.0925 90.00 90.00 90.00
Fractional positions:
Cd (0.8603, 0.6397, 0.0000)
Cd (0.6397, 0.1397, 0.0000)
Ir (0.0000, 0.0000, 0.0000)
Cd (0.1397, 0.3603, 0.0000)
Sr (0.8171, 0.3171, 0.5000)
Cd (0.3603, 0.8603, 0.0000)
Sr (0.6829, 0.8171, 0.5000)
Sr (0.3171, 0.1829, 0.5000)
Ir (0.5000, 0.5000, 0.0000)
Sr (0.1829, 0.6829, 0.5000)

- Energy of formation: -0.07 eV per formula unit
- Theoretical density: 7.063 Mg/m³
- Total magnetization: 0.00 μB/atom
- Symmetry: P4/mbm (127)

=====

No. 11
Below is a relaxed structure of SrCd2Ir2, with properties calculated at the PBE level.

Lattice parameters (Å, degrees): 8.0058 8.0058 3.1723 90.00 90.00 90.00
Fractional positions:
Cd (0.1704, 0.6704, 0.5000)
Ir (0.6230, 0.1230, 0.0000)
Ir (0.3770, 0.8770, 0.0000)
Sr (0.5000, 0.5000, 0.0000)
Ir (0.8770, 0.6230, 0.0000)
Cd (0.8296, 0.3296, 0.5000)
Cd (0.6704, 0.8296, 0.5000)
Cd (0.3296, 0.1704, 0.5000)
Ir (0.1230, 0.3770, 0.0000)
Sr (0.0000, 0.0000, 0.0000)

- Energy of formation: 0.44 eV per formula unit
- Theoretical density: 11.383 Mg/m³
- Total magnetization: 0.00 μB/atom
- Symmetry: P4/mbm (127)
- Offset from the most stable computed form: 154 meV/atom

=====

No. 12
Below is a relaxed structure of SrCd2Ir, with properties calculated at the PBE level.

Lattice parameters (Å, degrees): 4.6693 4.6693 10.3875 77.01 77.01 90.00
Fractional positions:
Ir (0.0000, 0.0000, 0.0000)
Cd (0.3750, 0.2726, 0.7500)
Ir (0.7500, 0.2500, 0.5000)
Cd (0.7274, 0.1250, 0.2500)
Cd (0.8750, 0.9774, 0.7500)
Sr (0.2500, 0.7500, 0.5000)
Cd (0.0226, 0.6250, 0.2500)
Sr (0.5000, 0.5000, 0.0000)

- Energy of formation: 0.61 eV per formula unit
- Theoretical density: 7.805 Mg/m³
- Total magnetization: 0.00 μB/atom
- Symmetry: I-42d (122)